No. 1
First-principles (GGA-PBE) data for a relaxed Ta2Mn4Si5 crystal, as listed in the Alexandria database.

Results
Symmetry: Ibam, No. 72
Formation energy without anion corrections, meV/atom: -200

Cell: 9.4371 9.4371 9.4371 Å, 134.79 56.36 148.16°
Fractional positions:
Ta (0.0647, 0.2500, 0.8147)
Ta (0.4353, 0.2500, 0.1853)
Ta (0.5647, 0.7500, 0.8147)
Ta (0.9353, 0.7500, 0.1853)
Mn (0.0658, 0.2489, 0.3147)
Mn (0.1484, 0.6190, 0.7675)
Mn (0.3516, 0.1190, 0.4706)
Mn (0.4342, 0.7489, 0.1831)
Mn (0.5658, 0.2511, 0.8169)
Mn (0.6484, 0.8810, 0.5294)
Mn (0.8516, 0.3810, 0.2325)
Mn (0.9342, 0.7511, 0.6853)
Si (0.0577, 0.8972, 0.9550)
Si (0.2074, 0.3081, 0.5155)
Si (0.2500, 0.7500, 0.5000)
Si (0.2926, 0.8081, 0.1007)
Si (0.4423, 0.3972, 0.8395)
Si (0.5577, 0.6028, 0.1605)
Si (0.7074, 0.1919, 0.8993)
Si (0.7500, 0.2500, 0.5000)
Si (0.7926, 0.6919, 0.4845)
Si (0.9423, 0.1028, 0.0450)

***

No. 2
First-principles (GGA-PBE) data for a relaxed DySn4Hg crystal, as listed in the Alexandria database.

Results
Symmetry: F-43m, No. 216
Energy relative to the elements, eV per atom: -0.122

Cell: 6.1625 6.1625 6.1625 Å, 60.00 60.00 60.00°
Fractional positions:
Dy (0.0000, 0.0000, 0.0000)
Sn (0.1246, 0.6251, 0.6251)
Sn (0.6251, 0.1246, 0.6251)
Sn (0.6251, 0.6251, 0.1246)
Sn (0.6251, 0.6251, 0.6251)
Hg (0.2500, 0.2500, 0.2500)

***

No. 3
First-principles (GGA-PBE) data for a relaxed PmSmEuPb crystal, as listed in the Alexandria database.

Results
Symmetry: F-43m, No. 216
Energy relative to the elements, eV per atom: -0.165

Cell: 5.6208 5.6208 5.6208 Å, 60.00 60.00 60.00°
Fractional positions:
Pm (0.0000, 0.0000, 0.0000)
Sm (0.5000, 0.5000, 0.5000)
Eu (0.2500, 0.2500, 0.2500)
Pb (0.7500, 0.7500, 0.7500)

***

No. 4
First-principles (GGA-PBE) data for a relaxed AlCuNi4 crystal, as listed in the Alexandria database.

Results
Symmetry: F-43m, No. 216
Energy relative to the elements, eV per atom: -0.088

Cell: 4.6650 4.6650 4.6650 Å, 60.00 60.00 60.00°
Fractional positions:
Al (0.0000, 0.0000, 0.0000)
Cu (0.7500, 0.7500, 0.7500)
Ni (0.3751, 0.3751, 0.3751)
Ni (0.3751, 0.3751, 0.8748)
Ni (0.3751, 0.8748, 0.3751)
Ni (0.8748, 0.3751, 0.3751)

***

No. 5
First-principles (GGA-PBE) data for a relaxed K2MgCr crystal, as listed in the Alexandria database.

Results
Symmetry: I4/mmm, No. 139
Energy relative to the elements, eV per atom: 0.733

Cell: 6.7700 6.7700 6.7700 Å, 135.94 135.94 64.07°
Fractional positions:
K (0.2500, 0.7500, 0.5000)
K (0.7500, 0.2500, 0.5000)
Mg (0.0000, 0.0000, 0.0000)
Cr (0.5000, 0.5000, 0.0000)

***

No. 6
First-principles (GGA-PBE) data for a relaxed CaTb2OsN4 crystal, as listed in the Alexandria database.

Results
Symmetry: Cmcm, No. 63
Formation energy without anion corrections, meV/atom: -825

Cell: 6.1923 6.1923 11.6589 Å, 90.00 90.00 147.62°
Fractional positions:
Ca (0.1286, 0.8714, 0.7500)
Ca (0.8714, 0.1286, 0.2500)
Tb (0.3684, 0.6316, 0.5341)
Tb (0.3684, 0.6316, 0.9659)
Tb (0.6316, 0.3684, 0.0341)
Tb (0.6316, 0.3684, 0.4659)
Os (0.1416, 0.8584, 0.2500)
Os (0.8584, 0.1416, 0.7500)
N (0.0000, 0.0000, 0.0000)
N (0.0000, 0.0000, 0.5000)
N (0.2582, 0.7418, 0.1271)
N (0.2582, 0.7418, 0.3729)
N (0.4329, 0.5671, 0.7500)
N (0.5671, 0.4329, 0.2500)
N (0.7418, 0.2582, 0.6271)
N (0.7418, 0.2582, 0.8729)

***

No. 7
First-principles (GGA-PBE) data for a relaxed Cs3TeRh crystal, as listed in the Alexandria database.

Results
Symmetry: Pm-3m, No. 221
Formation energy without anion corrections, meV/atom: -53

Cell: 5.9009 5.9009 5.9009 Å, 90.00 90.00 90.00°
Fractional positions:
Cs (0.0000, 0.0000, 0.5000)
Cs (0.0000, 0.5000, 0.0000)
Cs (0.5000, 0.0000, 0.0000)
Te (0.5000, 0.5000, 0.5000)
Rh (0.0000, 0.0000, 0.0000)

***

No. 8
First-principles (GGA-PBE) data for a relaxed Sn2SbP crystal, as listed in the Alexandria database.

Results
Symmetry: Fm-3m, No. 225
Formation energy without anion corrections, meV/atom: 299

Cell: 5.1479 5.1479 5.1479 Å, 60.00 60.00 60.00°
Fractional positions:
Sn (0.2500, 0.2500, 0.2500)
Sn (0.7500, 0.7500, 0.7500)
Sb (0.0000, 0.0000, 0.0000)
P (0.5000, 0.5000, 0.5000)

***

No. 9
First-principles (GGA-PBE) data for a relaxed NiSnSbPt2 crystal, as listed in the Alexandria database.

Results
Symmetry: P4/mmm, No. 123
Formation energy without anion corrections, meV/atom: 391

Cell: 4.8395 4.8395 4.5285 Å, 90.00 90.00 90.00°
Fractional positions:
Ni (0.0000, 0.0000, 0.0000)
Sn (0.5000, 0.5000, 0.5000)
Sb (0.0000, 0.0000, 0.5000)
Pt (0.0000, 0.5000, 0.0000)
Pt (0.5000, 0.0000, 0.0000)

***

No. 10
First-principles (GGA-PBE) data for a relaxed TbY2Sc3Te6 crystal, as listed in the Alexandria database.

Results
Symmetry: C2/m, No. 12
Formation energy without anion corrections, meV/atom: -1203

Cell: 9.5460 9.5460 8.5640 Å, 103.12 103.12 25.77°
Fractional positions:
Tb (0.0000, 0.0000, 0.0000)
Y (0.3337, 0.3337, 0.6671)
Y (0.6663, 0.6663, 0.3329)
Sc (0.0000, 0.0000, 0.5000)
Sc (0.3340, 0.3340, 0.1662)
Sc (0.6660, 0.6660, 0.8338)
Te (0.1634, 0.1634, 0.5921)
Te (0.1706, 0.1706, 0.0753)
Te (0.4966, 0.4966, 0.2591)
Te (0.5034, 0.5034, 0.7409)
Te (0.8294, 0.8294, 0.9247)
Te (0.8366, 0.8366, 0.4079)

***

No. 11
First-principles (GGA-PBE) data for a relaxed CeGd2In crystal, as listed in the Alexandria database.

Results
Symmetry: P4/mmm, No. 123
Energy relative to the elements, eV per atom: -0.196

Cell: 3.5676 3.5676 9.1568 Å, 90.00 90.00 90.00°
Fractional positions:
Ce (0.0000, 0.0000, 0.0000)
Gd (0.5000, 0.5000, 0.2668)
Gd (0.5000, 0.5000, 0.7332)
In (0.0000, 0.0000, 0.5000)

***

No. 12
First-principles (GGA-PBE) data for a relaxed ScNi2Br crystal, as listed in the Alexandria database.

Results
Symmetry: Immm, No. 71
Formation energy without anion corrections, meV/atom: -41

Cell: 5.2364 5.2364 5.2364 Å, 145.20 129.68 62.63°
Fractional positions:
Sc (0.0000, 0.0000, 0.0000)
Ni (0.2567, 0.7567, 0.5000)
Ni (0.7433, 0.2433, 0.5000)
Br (0.5000, 0.5000, 0.0000)